Computed, not measured: a relaxed ScAg2SbPd crystal at the GGA-PBE level of DFT.

Results
Symmetry: P4/mmm (123)
ΔE_f (raw) (eV/atom): 0.199

abc: 5.0505 5.0505 4.8340
angles: 90.00 90.00 90.00
Last column: nearest neighbours and their distance in Å.
Fractional coordinates of all 5 atoms:
1 Sc 0.0000 0.0000 0.0000  2 Pd 2.42
2 Ag 0.0000 0.5000 0.5000  2 Pd 2.53
3 Ag 0.5000 0.0000 0.5000  2 Pd 2.53
4 Sb 0.5000 0.5000 0.0000  8 Ag 3.50, 4 Sc 3.57
5 Pd 0.0000 0.0000 0.5000  2 Sc 2.42, 4 Ag 2.53

=====

Computed, not measured: a relaxed Ca2YMn crystal at the GGA-PBE level of DFT.

Results
Energy above the lowest structure with this stoichiometry (meV/atom): 120
Symmetry: Imm2 (44)
DFT formation energy (eV per atom): 0.296

abc: 6.7134 6.7134 6.7134
angles: 147.93 129.03 61.50
Last column: nearest neighbours and their distance in Å.
Fractional coordinates of all 4 atoms:
1 Ca 0.0000 0.0000 0.0000  4 Mn 3.43, 6 Ca 3.71-3.84, 2 Y 3.73
2 Ca 0.7085 0.2085 0.5000  2 Mn 3.11
3 Y 0.2960 0.7960 0.5000  2 Mn 2.93
4 Mn 0.4921 0.4921 0.0000  2 Y 2.93, 2 Ca 3.11